Record 1
This record from Alexandria via LeMat-Bulk describes a PBEsol-optimized structure of Re2AsRu. The functional is SCAN.

Calculated values
Its space group is No. 216. As for the calculated formation energy: 0.422 eV per atom. Its total magnetization is 0.000 μB per atom.

Structure (CIF):
```
data_Re2AsRu
_symmetry_space_group_name_H-M 'P 1'
_symmetry_Int_Tables_number 1
_symmetry_space_group_name_Hall 'P 1'
_cell_length_a 4.347
_cell_length_b 4.347
_cell_length_c 4.347
_cell_angle_alpha 60.00
_cell_angle_beta 60.00
_cell_angle_gamma 60.00
loop_
_atom_site_label
_atom_site_fract_x
_atom_site_fract_y
_atom_site_fract_z
Re1 0.000 0.000 0.000
As1 0.500 0.500 0.500
Re2 0.250 0.250 0.250
Ru1 0.750 0.750 0.750
```

Record 2
This record from Alexandria via LeMat-Bulk describes a PBEsol-optimized structure of Re2AsRu. The functional is SCAN.

Calculated values
Its space group is No. 65. As for the calculated formation energy: 0.440 eV per atom. Its total magnetization is 0.000 μB per atom.

Structure (CIF):
```
data_Re2AsRu
_symmetry_space_group_name_H-M 'P 1'
_symmetry_Int_Tables_number 1
_symmetry_space_group_name_Hall 'P 1'
_cell_length_a 2.832
_cell_length_b 4.782
_cell_length_c 4.782
_cell_angle_alpha 116.71
_cell_angle_beta 90.00
_cell_angle_gamma 90.00
loop_
_atom_site_label
_atom_site_fract_x
_atom_site_fract_y
_atom_site_fract_z
As1 0.500 0.500 0.500
Ru1 0.500 0.000 0.000
Re1 0.000 0.000 0.500
Re2 0.000 0.500 0.000
```

Record 3
This record from Alexandria via LeMat-Bulk describes a PBEsol-optimized structure of Re2AsRu. The functional is SCAN.

Calculated values
Its space group is No. 47. As for the calculated formation energy: 0.364 eV per atom. Its total magnetization is 0.000 μB per atom.

Structure (CIF):
```
data_Re2AsRu
_symmetry_space_group_name_H-M 'P 1'
_symmetry_Int_Tables_number 1
_symmetry_space_group_name_Hall 'P 1'
_cell_length_a 2.943
_cell_length_b 4.387
_cell_length_c 4.473
_cell_angle_alpha 90.00
_cell_angle_beta 90.00
_cell_angle_gamma 90.00
loop_
_atom_site_label
_atom_site_fract_x
_atom_site_fract_y
_atom_site_fract_z
Ru1 0.500 0.000 0.500
Re1 0.500 0.500 0.000
Re2 0.000 0.000 0.000
As1 0.000 0.500 0.500
```

Record 4
This record from Alexandria via LeMat-Bulk describes a PBEsol-optimized structure of ReAsS2. The functional is SCAN.

Calculated values
Its space group is No. 166. Its total magnetization is 0.000 μB per atom. The value obtained for the energy relative to the elements, uncorrected is 106 meV per atom.

Structure (CIF):
```
data_ReAsS2
_symmetry_space_group_name_H-M 'P 1'
_symmetry_Int_Tables_number 1
_symmetry_space_group_name_Hall 'P 1'
_cell_length_a 3.101
_cell_length_b 3.101
_cell_length_c 8.544
_cell_angle_alpha 79.54
_cell_angle_beta 79.54
_cell_angle_gamma 60.00
loop_
_atom_site_label
_atom_site_fract_x
_atom_site_fract_y
_atom_site_fract_z
As1 0.000 0.000 0.000
S1 0.897 0.897 0.309
Re1 0.500 0.500 0.500
S2 0.103 0.103 0.691
```

Record 5
This record from Alexandria via LeMat-Bulk describes a PBEsol-optimized structure of ReAs2SeS. The functional is SCAN.

Calculated values
Its space group is No. 123. Its total magnetization is 0.000 μB per atom. The value obtained for the energy relative to the elements, uncorrected is 713 meV per atom.

Structure (CIF):
```
data_ReAs2SeS
_symmetry_space_group_name_H-M 'P 1'
_symmetry_Int_Tables_number 1
_symmetry_space_group_name_Hall 'P 1'
_cell_length_a 4.651
_cell_length_b 4.800
_cell_length_c 4.800
_cell_angle_alpha 90.00
_cell_angle_beta 90.00
_cell_angle_gamma 90.00
loop_
_atom_site_label
_atom_site_fract_x
_atom_site_fract_y
_atom_site_fract_z
Re1 0.000 0.000 0.000
As1 0.000 0.000 0.500
As2 0.000 0.500 0.000
Se1 0.500 0.000 0.000
S1 0.500 0.500 0.500
```

Record 6
This record from Alexandria via LeMat-Bulk describes a PBEsol-optimized structure of Re2SbAs. The functional is SCAN.

Calculated values
Its space group is No. 12. Its total magnetization is 0.000 μB per atom. The value obtained for the energy relative to the elements, uncorrected is 531 meV per atom. Its energy above the lowest structure with this stoichiometry is 0 meV/atom.

Structure (CIF):
```
data_Re2SbAs
_symmetry_space_group_name_H-M 'P 1'
_symmetry_Int_Tables_number 1
_symmetry_space_group_name_Hall 'P 1'
_cell_length_a 3.024
_cell_length_b 4.375
_cell_length_c 5.419
_cell_angle_alpha 100.89
_cell_angle_beta 90.00
_cell_angle_gamma 110.22
loop_
_atom_site_label
_atom_site_fract_x
_atom_site_fract_y
_atom_site_fract_z
Re1 0.252 0.505 0.213
Sb1 0.000 0.000 0.500
Re2 0.748 0.495 0.787
As1 0.500 0.000 0.000
```

Record 7
This record from Alexandria via LeMat-Bulk describes a PBEsol-optimized structure of Re2SbAs. The functional is SCAN.

Calculated values
Its space group is No. 47. Its total magnetization is 0.000 μB per atom. The value obtained for the energy relative to the elements, uncorrected is 1018 meV per atom. Its energy above the lowest structure with this stoichiometry is 487 meV/atom.

Structure (CIF):
```
data_Re2SbAs
_symmetry_space_group_name_H-M 'P 1'
_symmetry_Int_Tables_number 1
_symmetry_space_group_name_Hall 'P 1'
_cell_length_a 3.105
_cell_length_b 4.218
_cell_length_c 5.120
_cell_angle_alpha 90.00
_cell_angle_beta 90.00
_cell_angle_gamma 90.00
loop_
_atom_site_label
_atom_site_fract_x
_atom_site_fract_y
_atom_site_fract_z
Sb1 0.500 0.500 0.000
Re1 0.000 0.000 0.000
As1 0.000 0.500 0.500
Re2 0.500 0.000 0.500
```

Record 8
This record from Alexandria via LeMat-Bulk describes a PBEsol-optimized structure of Re4SbAs. The functional is SCAN.

Calculated values
Its space group is No. 216. Its total magnetization is 0.000 μB per atom. The value obtained for the energy relative to the elements, uncorrected is 900 meV per atom.

Structure (CIF):
```
data_Re4SbAs
_symmetry_space_group_name_H-M 'P 1'
_symmetry_Int_Tables_number 1
_symmetry_space_group_name_Hall 'P 1'
_cell_length_a 5.243
_cell_length_b 5.243
_cell_length_c 5.243
_cell_angle_alpha 60.00
_cell_angle_beta 60.00
_cell_angle_gamma 60.00
loop_
_atom_site_label
_atom_site_fract_x
_atom_site_fract_y
_atom_site_fract_z
Re1 0.876 0.375 0.375
Re2 0.375 0.375 0.375
As1 0.000 0.000 0.000
Re3 0.375 0.876 0.375
Re4 0.375 0.375 0.876
Sb1 0.750 0.750 0.750
```

Record 9
This record from Alexandria via LeMat-Bulk describes a PBEsol-optimized structure of ReSbAs. The functional is SCAN.

Calculated values
Its space group is No. 187. Its total magnetization is 0.000 μB per atom. The value obtained for the energy relative to the elements, uncorrected is 646 meV per atom.

Structure (CIF):
```
data_ReSbAs
_symmetry_space_group_name_H-M 'P 1'
_symmetry_Int_Tables_number 1
_symmetry_space_group_name_Hall 'P 1'
_cell_length_a 3.269
_cell_length_b 4.376
_cell_length_c 4.376
_cell_angle_alpha 120.00
_cell_angle_beta 90.00
_cell_angle_gamma 90.00
loop_
_atom_site_label
_atom_site_fract_x
_atom_site_fract_y
_atom_site_fract_z
Re1 0.000 0.333 0.667
As1 0.000 0.000 0.000
Sb1 0.500 0.667 0.333
```

Record 10
This record from Alexandria via LeMat-Bulk describes a PBEsol-optimized structure of Re2SbAs. The functional is SCAN.

Calculated values
Its space group is No. 225. Its total magnetization is 0.000 μB per atom. The value obtained for the energy relative to the elements, uncorrected is 553 meV per atom. Its energy above the lowest structure with this stoichiometry is 22 meV/atom.

Structure (CIF):
```
data_Re2SbAs
_symmetry_space_group_name_H-M 'P 1'
_symmetry_Int_Tables_number 1
_symmetry_space_group_name_Hall 'P 1'
_cell_length_a 4.464
_cell_length_b 4.464
_cell_length_c 4.464
_cell_angle_alpha 60.00
_cell_angle_beta 60.00
_cell_angle_gamma 60.00
loop_
_atom_site_label
_atom_site_fract_x
_atom_site_fract_y
_atom_site_fract_z
As1 0.500 0.500 0.500
Sb1 0.000 0.000 0.000
Re1 0.250 0.250 0.250
Re2 0.750 0.750 0.750
```